Entry 1:
Here is a geometry-optimized KNi2Os structure from the Alexandria database. Energies are from PBEsol.

a = 2.6042 Å, b = 4.2565 Å, c = 6.7137 Å
α = 94.06°, β = 90.00°, γ = 107.81°
Closest atoms and distances in Å follow each position.
Sites, in units of the cell vectors:
1 Ni 0.2617 0.5235 0.3515  4 Ni 2.40-2.60, 3 Os 2.41-2.48
2 Ni 0.7382 0.4765 0.6485  4 Ni 2.40-2.60, 3 Os 2.41-2.48
3 K 0.5000 0.0000 0.0000  2 K 2.60
4 Os 0.0000 0.0000 0.5000  6 Ni 2.41-2.48, 2 Os 2.60

offset from the most stable computed form: 71 meV/atom
Fermi-level density of states: 0.8776 states/eV/atom
ΔH_f (0 K): 0.662 eV/atom
uncorrected energy: -0.4229 Ry/atom

Entry 2:
Here is a geometry-optimized KNi2Os structure from the Alexandria database. Energies are from PBEsol.

a = 2.5621 Å, b = 4.7411 Å, c = 4.7411 Å
α = 89.91°, β = 90.00°, γ = 90.00°
Closest atoms and distances in Å follow each position.
Sites, in units of the cell vectors:
1 Ni 0.0000 0.0000 0.5000  2 Ni 2.56, 4 K 2.69, 4 Os 2.69
2 Ni 0.0000 0.5000 0.0000  2 Ni 2.56, 4 Os 2.69, 4 K 2.69
3 Os 0.5000 0.0000 0.0000  2 Os 2.56, 8 Ni 2.69
4 K 0.5000 0.5000 0.5000  2 K 2.56, 8 Ni 2.69

offset from the most stable computed form: 336 meV/atom
Fermi-level density of states: 0.9560 states/eV/atom
ΔH_f (0 K): 0.928 eV/atom
uncorrected energy: -0.4034 Ry/atom

Copy entry 2 word for word.
Here is a geometry-optimized KNi2Os structure from the Alexandria database. Energies are from PBEsol.

a = 2.5621 Å, b = 4.7411 Å, c = 4.7411 Å
α = 89.91°, β = 90.00°, γ = 90.00°
Closest atoms and distances in Å follow each position.
Sites, in units of the cell vectors:
1 Ni 0.0000 0.0000 0.5000  2 Ni 2.56, 4 K 2.69, 4 Os 2.69
2 Ni 0.0000 0.5000 0.0000  2 Ni 2.56, 4 Os 2.69, 4 K 2.69
3 Os 0.5000 0.0000 0.0000  2 Os 2.56, 8 Ni 2.69
4 K 0.5000 0.5000 0.5000  2 K 2.56, 8 Ni 2.69

offset from the most stable computed form: 336 meV/atom
Fermi-level density of states: 0.9560 states/eV/atom
ΔH_f (0 K): 0.928 eV/atom
uncorrected energy: -0.4034 Ry/atom